(1)
A plane-wave DFT calculation with PBE was carried out for a relaxed structure of LiPr2AgSe2O2.

Structure (POSCAR):
```
LiPr2AgSe2O2
1.0
4.0877 0.0000 0.0000
0.0000 4.0877 0.0000
0.0000 0.0000 9.1448
Li Pr Ag Se O
1 2 1 2 2
direct
0.0000 0.0000 0.0000
0.0000 0.5000 0.3692
0.5000 0.0000 0.6308
0.5000 0.5000 0.0000
0.0000 0.5000 0.8118
0.5000 0.0000 0.1882
0.0000 0.0000 0.5000
0.5000 0.5000 0.5000
```

The magnetic moment is 0.001 μB/atom. For the volume, the calculation gives 153 Å³ per cell. The calculation puts the raw total energy at -6.02 eV per atom.

=====

(2)
A plane-wave DFT calculation with PBE was carried out for a relaxed structure of LiAg3PtO4.

Structure (POSCAR):
```
LiAg3PtO4
1.0
5.1860 0.0000 0.0000
0.0000 5.1860 0.0000
0.0000 0.0000 5.1860
Li Ag Pt O
1 3 1 4
direct
0.0000 0.0000 0.0000
0.0000 0.5000 0.5000
0.5000 0.0000 0.5000
0.5000 0.5000 0.0000
0.5000 0.5000 0.5000
0.2363 0.2363 0.2363
0.2363 0.7637 0.7637
0.7637 0.2363 0.7637
0.7637 0.7637 0.2363
```

The magnetic moment is 0.451 μB/atom. For the volume, the calculation gives 139 Å³ per cell. The calculation puts the raw total energy at -3.89 eV per atom.

=====

(3)
A plane-wave DFT calculation with PBE was carried out for a relaxed structure of LiReAg3O4.

Structure (POSCAR):
```
LiReAg3O4
1.0
5.6268 0.0000 0.0000
0.0000 5.6268 0.0000
0.0000 0.0000 5.6268
Li Re Ag O
1 1 3 4
direct
0.0000 0.0000 0.0000
0.5000 0.5000 0.5000
0.0000 0.5000 0.5000
0.5000 0.0000 0.5000
0.5000 0.5000 0.0000
0.3012 0.3012 0.3012
0.3012 0.6988 0.6988
0.6988 0.3012 0.6988
0.6988 0.6988 0.3012
```

The magnetic moment is 0.210 μB/atom. For the volume, the calculation gives 178 Å³ per cell. The calculation puts the raw total energy at -4.99 eV per atom.

=====

(4)
A plane-wave DFT calculation with PBE was carried out for a relaxed structure of LiReAgO3.

Structure (POSCAR):
```
LiReAgO3
1.0
10.8087 0.0000 0.0000
0.0000 2.7914 0.0000
0.0000 0.0000 8.6615
Li Re Ag O
4 4 4 12
direct
0.2185 0.2500 0.1781
0.2815 0.7500 0.6781
0.7185 0.2500 0.3219
0.7815 0.7500 0.8219
0.0352 0.2500 0.8771
0.4648 0.7500 0.3771
0.5352 0.2500 0.6229
0.9648 0.7500 0.1229
0.1156 0.2500 0.4919
0.3844 0.7500 0.9919
0.6156 0.2500 0.0081
0.8844 0.7500 0.5081
0.0517 0.2500 0.2546
0.1374 0.7500 0.0064
0.1717 0.2500 0.7351
0.3283 0.7500 0.2351
0.3626 0.2500 0.5064
0.4483 0.7500 0.7546
0.5517 0.2500 0.2454
0.6374 0.7500 0.4936
0.6717 0.2500 0.7649
0.8283 0.7500 0.2649
0.8626 0.2500 0.9936
0.9483 0.7500 0.7454
```

The magnetic moment is 0.001 μB/atom. For the volume, the calculation gives 261 Å³ per cell. The calculation puts the raw total energy at -6.54 eV per atom.

=====

(5)
A plane-wave DFT calculation with PBE was carried out for a relaxed structure of LiAg3SnO4.

Structure (POSCAR):
```
LiAg3SnO4
1.0
5.6397 0.0000 0.0000
0.0000 5.6397 0.0000
0.0000 0.0000 5.6397
Li Ag Sn O
1 3 1 4
direct
0.0000 0.0000 0.0000
0.0000 0.5000 0.5000
0.5000 0.0000 0.5000
0.5000 0.5000 0.0000
0.5000 0.5000 0.5000
0.2900 0.2900 0.2900
0.2900 0.7100 0.7100
0.7100 0.2900 0.7100
0.7100 0.7100 0.2900
```

For the volume, the calculation gives 179 Å³ per cell. The calculation puts the raw total energy at -4.19 eV per atom.

=====

(6)
A plane-wave DFT calculation with PBE was carried out for a relaxed structure of LiZrAgO3.

Structure (POSCAR):
```
LiZrAgO3
1.0
10.8311 0.0000 0.0000
0.0000 3.1792 0.0000
0.0000 0.0000 8.9817
Li Zr Ag O
4 4 4 12
direct
0.2158 0.2500 0.1562
0.2842 0.7500 0.6562
0.7158 0.2500 0.3438
0.7842 0.7500 0.8438
0.0468 0.2500 0.8392
0.4532 0.7500 0.3392
0.5468 0.2500 0.6608
0.9532 0.7500 0.1608
0.1164 0.2500 0.4746
0.3836 0.7500 0.9746
0.6164 0.2500 0.0254
0.8836 0.7500 0.5254
0.0577 0.2500 0.2526
0.1064 0.7500 0.9787
0.1858 0.2500 0.6935
0.3142 0.7500 0.1935
0.3936 0.2500 0.4787
0.4423 0.7500 0.7526
0.5577 0.2500 0.2474
0.6064 0.7500 0.5213
0.6858 0.2500 0.8065
0.8142 0.7500 0.3065
0.8936 0.2500 0.0213
0.9423 0.7500 0.7474
```

The magnetic moment is 0.000 μB/atom. For the volume, the calculation gives 309 Å³ per cell. The calculation puts the raw total energy at -6.84 eV per atom.

=====

(7)
A plane-wave DFT calculation with PBE was carried out for a relaxed structure of LiAgTe2OsS.

Structure (POSCAR):
```
LiAgTe2OsS
1.0
1.9782 -6.6532 0.0000
1.9782 6.6532 0.0000
0.0000 0.0000 9.7232
Li Ag Te Os S
2 2 4 2 2
direct
0.2358 0.7642 0.7500
0.7642 0.2358 0.2500
0.4307 0.5693 0.2500
0.5693 0.4307 0.7500
0.3597 0.6403 0.5058
0.3597 0.6403 0.9942
0.6403 0.3597 0.0058
0.6403 0.3597 0.4942
0.0000 0.0000 0.0000
0.0000 0.0000 0.5000
0.0583 0.9417 0.2500
0.9417 0.0583 0.7500
```

The magnetic moment is 0.005 μB/atom. For the volume, the calculation gives 256 Å³ per cell. The calculation puts the raw total energy at -4.36 eV per atom.

=====

(8)
A plane-wave DFT calculation with PBE was carried out for a relaxed structure of LiAgTeOsS2.

Structure (POSCAR):
```
LiAgTeOsS2
1.0
1.8012 -6.6634 0.0000
1.8012 6.6634 0.0000
0.0000 0.0000 10.0872
Li Ag Te Os S
2 2 2 2 4
direct
0.2379 0.7621 0.7500
0.7621 0.2379 0.2500
0.4184 0.5816 0.2500
0.5816 0.4184 0.7500
0.0920 0.9080 0.2500
0.9080 0.0920 0.7500
0.0000 0.0000 0.0000
0.0000 0.0000 0.5000
0.3807 0.6193 0.0195
0.3807 0.6193 0.4805
0.6193 0.3807 0.5195
0.6193 0.3807 0.9805
```

The magnetic moment is 0.009 μB/atom. For the volume, the calculation gives 242 Å³ per cell. The calculation puts the raw total energy at -4.65 eV per atom.

=====

(9)
A plane-wave DFT calculation with PBE was carried out for a relaxed structure of LiAg3OsSe4.

Structure (POSCAR):
```
LiAg3OsSe4
1.0
6.1332 0.0000 0.0000
0.0000 6.1332 0.0000
0.0000 0.0000 6.1332
Li Ag Os Se
1 3 1 4
direct
0.0000 0.0000 0.0000
0.0000 0.5000 0.5000
0.5000 0.0000 0.5000
0.5000 0.5000 0.0000
0.5000 0.5000 0.5000
0.2602 0.2602 0.2602
0.2602 0.7398 0.7398
0.7398 0.2602 0.7398
0.7398 0.7398 0.2602
```

The magnetic moment is 0.443 μB/atom. For the volume, the calculation gives 231 Å³ per cell. The calculation puts the raw total energy at -3.90 eV per atom.

=====

(10)
A plane-wave DFT calculation with PBE was carried out for a relaxed structure of LiAgTe2OsSe.

Structure (POSCAR):
```
LiAgTe2OsSe
1.0
1.9750 -6.6094 0.0000
1.9750 6.6094 0.0000
0.0000 0.0000 10.1254
Li Ag Te Os Se
2 2 4 2 2
direct
0.2427 0.7573 0.7500
0.7573 0.2427 0.2500
0.4297 0.5703 0.2500
0.5703 0.4297 0.7500
0.3606 0.6394 0.0029
0.3606 0.6394 0.4971
0.6394 0.3606 0.5029
0.6394 0.3606 0.9971
0.0000 0.0000 0.0000
0.0000 0.0000 0.5000
0.0719 0.9281 0.2500
0.9281 0.0719 0.7500
```

The magnetic moment is 0.003 μB/atom. For the volume, the calculation gives 264 Å³ per cell. The calculation puts the raw total energy at -4.28 eV per atom.

=====

(11)
A plane-wave DFT calculation with PBE was carried out for a relaxed structure of LiAg3Te4Os.

Structure (POSCAR):
```
LiAg3Te4Os
1.0
6.4933 0.0000 0.0000
0.0000 6.4933 0.0000
0.0000 0.0000 6.4933
Li Ag Te Os
1 3 4 1
direct
0.0000 0.0000 0.0000
0.0000 0.5000 0.5000
0.5000 0.0000 0.5000
0.5000 0.5000 0.0000
0.2642 0.2642 0.2642
0.2642 0.7358 0.7358
0.7358 0.2642 0.7358
0.7358 0.7358 0.2642
0.5000 0.5000 0.5000
```

The magnetic moment is 0.133 μB/atom. For the volume, the calculation gives 274 Å³ per cell. The calculation puts the raw total energy at -3.69 eV per atom.

=====

(12)
A plane-wave DFT calculation with PBE was carried out for a relaxed structure of LiAgTe3Os.

Structure (POSCAR):
```
LiAgTe3Os
1.0
1.9912 -6.6770 0.0000
1.9912 6.6770 0.0000
0.0000 0.0000 10.5502
Li Ag Te Os
2 2 6 2
direct
0.2398 0.7602 0.7500
0.7602 0.2398 0.2500
0.4243 0.5757 0.2500
0.5757 0.4243 0.7500
0.0787 0.9213 0.2500
0.3630 0.6370 0.0098
0.3630 0.6370 0.4902
0.6370 0.3630 0.5098
0.6370 0.3630 0.9902
0.9213 0.0787 0.7500
0.0000 0.0000 0.0000
0.0000 0.0000 0.5000
```

The magnetic moment is 0.002 μB/atom. For the volume, the calculation gives 281 Å³ per cell. The calculation puts the raw total energy at -4.22 eV per atom.

=====

Look up the raw total energy of the sixth one.
-6.84 eV per atom